i | # BeTeRu3 | Alexandria via LeMat-Bulk | PBE | optimized geometry
# Density of states at the Fermi level = 2.280 states/eV/f.u.
# Space-group type = No. 221
data_BeTeRu3
_cell_length_a 4.188
_cell_length_b 4.188
_cell_length_c 4.188
_cell_angle_alpha 90.00
_cell_angle_beta 90.00
_cell_angle_gamma 90.00
_space_group_name_H-M_alt 'P 1'
_space_group_IT_number 1
loop_
_space_group_symop_operation_xyz
'x,y,z'
loop_
_atom_site_label
_atom_site_fract_x
_atom_site_fract_y
_atom_site_fract_z
_atom_site_occupancy
Be1 0.000 0.000 0.000 1
Ru1 0.000 0.500 0.000 1
Ru2 0.000 0.000 0.500 1
Ru3 0.500 0.000 0.000 1
Te1 0.500 0.500 0.500 1

***

ii | # BeTeRu3 | Alexandria via LeMat-Bulk | PBE | optimized geometry
# Density of states at the Fermi level = 6.765 states/eV/f.u.
# Space-group type = No. 221
data_BeTeRu3
_cell_length_a 4.769
_cell_length_b 4.769
_cell_length_c 4.769
_cell_angle_alpha 90.00
_cell_angle_beta 90.00
_cell_angle_gamma 90.00
_space_group_name_H-M_alt 'P 1'
_space_group_IT_number 1
loop_
_space_group_symop_operation_xyz
'x,y,z'
loop_
_atom_site_label
_atom_site_fract_x
_atom_site_fract_y
_atom_site_fract_z
_atom_site_occupancy
Ru1 0.000 0.000 0.500 1
Ru2 0.500 0.000 0.000 1
Ru3 0.000 0.500 0.000 1
Te1 0.000 0.000 0.000 1
Be1 0.500 0.500 0.500 1

***

i is favored, and the nearest alternative lies 1.352 eV/atom above it.

***

i | # Ti3BeRu | Alexandria via LeMat-Bulk | PBE | optimized geometry
# Density of states at the Fermi level = 6.745 states/eV/f.u.
# Space-group type = No. 221
data_Ti3BeRu
_cell_length_a 4.285
_cell_length_b 4.285
_cell_length_c 4.285
_cell_angle_alpha 90.00
_cell_angle_beta 90.00
_cell_angle_gamma 90.00
_space_group_name_H-M_alt 'P 1'
_space_group_IT_number 1
loop_
_space_group_symop_operation_xyz
'x,y,z'
loop_
_atom_site_label
_atom_site_fract_x
_atom_site_fract_y
_atom_site_fract_z
_atom_site_occupancy
Ti1 0.000 0.500 0.000 1
Ti2 0.000 0.000 0.500 1
Ti3 0.500 0.000 0.000 1
Ru1 0.500 0.500 0.500 1
Be1 0.000 0.000 0.000 1

***

ii | # Ti3BeRu | Alexandria via LeMat-Bulk | PBE | optimized geometry
# Density of states at the Fermi level = 6.549 states/eV/f.u.
# Space-group type = No. 221
data_Ti3BeRu
_cell_length_a 4.661
_cell_length_b 4.661
_cell_length_c 4.661
_cell_angle_alpha 90.00
_cell_angle_beta 90.00
_cell_angle_gamma 90.00
_space_group_name_H-M_alt 'P 1'
_space_group_IT_number 1
loop_
_space_group_symop_operation_xyz
'x,y,z'
loop_
_atom_site_label
_atom_site_fract_x
_atom_site_fract_y
_atom_site_fract_z
_atom_site_occupancy
Ti1 0.000 0.000 0.500 1
Ti2 0.500 0.000 0.000 1
Ti3 0.000 0.500 0.000 1
Ru1 0.000 0.000 0.000 1
Be1 0.500 0.500 0.500 1

***

i is favored, and the nearest alternative lies 0.275 eV/atom above it.

***

i | # TiBe3Ru | Alexandria via LeMat-Bulk | PBE | optimized geometry
# Density of states at the Fermi level = 4.138 states/eV/f.u.
# Space-group type = No. 221
data_TiBe3Ru
_cell_length_a 4.071
_cell_length_b 4.071
_cell_length_c 4.071
_cell_angle_alpha 90.00
_cell_angle_beta 90.00
_cell_angle_gamma 90.00
_space_group_name_H-M_alt 'P 1'
_space_group_IT_number 1
loop_
_space_group_symop_operation_xyz
'x,y,z'
loop_
_atom_site_label
_atom_site_fract_x
_atom_site_fract_y
_atom_site_fract_z
_atom_site_occupancy
Ru1 0.000 0.000 0.000 1
Be1 0.500 0.000 0.000 1
Be2 0.000 0.500 0.000 1
Be3 0.000 0.000 0.500 1
Ti1 0.500 0.500 0.500 1

***

ii | # TiBe3Ru | Alexandria via LeMat-Bulk | PBE | optimized geometry
# Density of states at the Fermi level = 11.433 states/eV/f.u.
# Space-group type = No. 221
data_TiBe3Ru
_cell_length_a 4.095
_cell_length_b 4.095
_cell_length_c 4.095
_cell_angle_alpha 90.00
_cell_angle_beta 90.00
_cell_angle_gamma 90.00
_space_group_name_H-M_alt 'P 1'
_space_group_IT_number 1
loop_
_space_group_symop_operation_xyz
'x,y,z'
loop_
_atom_site_label
_atom_site_fract_x
_atom_site_fract_y
_atom_site_fract_z
_atom_site_occupancy
Ru1 0.500 0.500 0.500 1
Be1 0.000 0.500 0.000 1
Be2 0.500 0.000 0.000 1
Be3 0.000 0.000 0.500 1
Ti1 0.000 0.000 0.000 1

***

i is favored, and the nearest alternative lies 1.392 eV/atom above it.

***

i | # BeTl2Ru | Alexandria via LeMat-Bulk | PBE | optimized geometry
# Density of states at the Fermi level = 1.985 states/eV/f.u.
# Space-group type = No. 12
data_BeTl2Ru
_cell_length_a 5.068
_cell_length_b 5.491
_cell_length_c 3.318
_cell_angle_alpha 72.33
_cell_angle_beta 90.18
_cell_angle_gamma 117.54
_space_group_name_H-M_alt 'P 1'
_space_group_IT_number 1
loop_
_space_group_symop_operation_xyz
'x,y,z'
loop_
_atom_site_label
_atom_site_fract_x
_atom_site_fract_y
_atom_site_fract_z
_atom_site_occupancy
Ru1 0.500 0.500 0.000 1
Tl1 0.000 0.000 0.000 1
Tl2 0.500 0.000 0.500 1
Be1 0.000 0.500 0.500 1

***

ii | # BeTl2Ru | Alexandria via LeMat-Bulk | PBE | optimized geometry
# Density of states at the Fermi level = 3.768 states/eV/f.u.
# Space-group type = No. 65
data_BeTl2Ru
_cell_length_a 3.186
_cell_length_b 3.186
_cell_length_c 8.594
_cell_angle_alpha 90.00
_cell_angle_beta 90.00
_cell_angle_gamma 118.01
_space_group_name_H-M_alt 'P 1'
_space_group_IT_number 1
loop_
_space_group_symop_operation_xyz
'x,y,z'
loop_
_atom_site_label
_atom_site_fract_x
_atom_site_fract_y
_atom_site_fract_z
_atom_site_occupancy
Ru1 0.500 0.500 0.750 1
Tl1 0.000 0.000 0.009 1
Tl2 0.000 0.000 0.491 1
Be1 0.500 0.500 0.250 1

***

iii | # BeTl2Ru | Alexandria via LeMat-Bulk | PBE | optimized geometry
# Density of states at the Fermi level = 1.497 states/eV/f.u.
# Space-group type = No. 6
data_BeTl2Ru
_cell_length_a 3.783
_cell_length_b 3.983
_cell_length_c 5.397
_cell_angle_alpha 68.44
_cell_angle_beta 90.00
_cell_angle_gamma 90.00
_space_group_name_H-M_alt 'P 1'
_space_group_IT_number 1
loop_
_space_group_symop_operation_xyz
'x,y,z'
loop_
_atom_site_label
_atom_site_fract_x
_atom_site_fract_y
_atom_site_fract_z
_atom_site_occupancy
Tl1 0.500 0.274 0.326 1
Tl2 0.000 0.981 0.914 1
Be1 0.000 0.681 0.513 1
Ru1 0.500 0.564 0.748 1

***

iv | # BeTl2Ru | Alexandria via LeMat-Bulk | PBE | optimized geometry
# Density of states at the Fermi level = 2.772 states/eV/f.u.
# Space-group type = No. 160
data_BeTl2Ru
_cell_length_a 6.286
_cell_length_b 6.286
_cell_length_c 6.286
_cell_angle_alpha 36.61
_cell_angle_beta 36.61
_cell_angle_gamma 36.61
_space_group_name_H-M_alt 'P 1'
_space_group_IT_number 1
loop_
_space_group_symop_operation_xyz
'x,y,z'
loop_
_atom_site_label
_atom_site_fract_x
_atom_site_fract_y
_atom_site_fract_z
_atom_site_occupancy
Tl1 0.772 0.772 0.772 1
Tl2 0.976 0.976 0.976 1
Ru1 0.208 0.208 0.208 1
Be1 0.545 0.545 0.545 1

***

iii is favored, and the nearest alternative lies 0.019 eV/atom above it.

***

i | # BeTl2Ru | Alexandria via LeMat-Bulk | PBE | optimized geometry
# Density of states at the Fermi level = 3.393 states/eV/f.u.
# Space-group type = No. 65
data_BeTl2Ru
_cell_length_a 4.720
_cell_length_b 4.720
_cell_length_c 3.314
_cell_angle_alpha 90.00
_cell_angle_beta 90.00
_cell_angle_gamma 101.24
_space_group_name_H-M_alt 'P 1'
_space_group_IT_number 1
loop_
_space_group_symop_operation_xyz
'x,y,z'
loop_
_atom_site_label
_atom_site_fract_x
_atom_site_fract_y
_atom_site_fract_z
_atom_site_occupancy
Tl1 0.500 0.500 0.000 1
Tl2 0.000 0.000 0.000 1
Ru1 0.000 0.500 0.500 1
Be1 0.500 0.000 0.500 1

***

ii | # BeTl2Ru | Alexandria via LeMat-Bulk | PBE | optimized geometry
# Density of states at the Fermi level = 2.750 states/eV/f.u.
# Space-group type = No. 166
data_BeTl2Ru
_cell_length_a 8.416
_cell_length_b 8.416
_cell_length_c 8.416
_cell_angle_alpha 22.18
_cell_angle_beta 22.18
_cell_angle_gamma 22.18
_space_group_name_H-M_alt 'P 1'
_space_group_IT_number 1
loop_
_space_group_symop_operation_xyz
'x,y,z'
loop_
_atom_site_label
_atom_site_fract_x
_atom_site_fract_y
_atom_site_fract_z
_atom_site_occupancy
Tl1 0.003 0.003 0.003 1
Tl2 0.497 0.497 0.497 1
Be1 0.750 0.750 0.750 1
Ru1 0.250 0.250 0.250 1

***

iii | # BeTl2Ru | Alexandria via LeMat-Bulk | PBE | optimized geometry
# Density of states at the Fermi level = 3.710 states/eV/f.u.
# Space-group type = No. 122
data_BeTl2Ru
_cell_length_a 7.303
_cell_length_b 7.303
_cell_length_c 5.900
_cell_angle_alpha 51.76
_cell_angle_beta 51.76
_cell_angle_gamma 90.00
_space_group_name_H-M_alt 'P 1'
_space_group_IT_number 1
loop_
_space_group_symop_operation_xyz
'x,y,z'
loop_
_atom_site_label
_atom_site_fract_x
_atom_site_fract_y
_atom_site_fract_z
_atom_site_occupancy
Be1 0.500 0.500 0.000 1
Be2 0.250 0.750 0.500 1
Tl1 0.156 0.625 0.250 1
Tl2 0.375 0.406 0.750 1
Tl3 0.875 0.844 0.750 1
Tl4 0.594 0.125 0.250 1
Ru1 0.000 0.000 0.000 1
Ru2 0.750 0.250 0.500 1

***

iv | # BeTl2Ru | Alexandria via LeMat-Bulk | PBE | optimized geometry
# Density of states at the Fermi level = 3.894 states/eV/f.u.
# Space-group type = No. 225
data_BeTl2Ru
_cell_length_a 4.684
_cell_length_b 4.684
_cell_length_c 4.684
_cell_angle_alpha 60.00
_cell_angle_beta 60.00
_cell_angle_gamma 60.00
_space_group_name_H-M_alt 'P 1'
_space_group_IT_number 1
loop_
_space_group_symop_operation_xyz
'x,y,z'
loop_
_atom_site_label
_atom_site_fract_x
_atom_site_fract_y
_atom_site_fract_z
_atom_site_occupancy
Ru1 0.500 0.500 0.500 1
Tl1 0.250 0.250 0.250 1
Tl2 0.750 0.750 0.750 1
Be1 0.000 0.000 0.000 1

***

i is favored, and the nearest alternative lies 0.029 eV/atom above it.